<A>
TaIr2Os | PBE-GGA | optimized geometry

The total magnetic moment comes out at 0.000 μB/atom.

It has space group I-4m2 (No. 119), with a = 3.9374 Å, b = 3.9374 Å, c = 7.8451 Å, α = 90.00°, β = 90.00° and γ = 90.00°. Symmetry generates all atoms from Ta at (0.0000, 0.0000, 0.0000), Ir at (0.0000, 0.0000, 0.5000), Ir at (0.0000, 0.5000, 0.2500) and Os at (0.0000, 0.5000, 0.7500).



<B>
TaIr2Os | PBE-GGA | optimized geometry

The total magnetic moment comes out at 0.000 μB/atom.

It has space group P4/mmm (No. 123), with a = 2.7724 Å, b = 2.7724 Å, c = 7.9244 Å, α = 90.00°, β = 90.00° and γ = 90.00°. Symmetry generates all atoms from Ta at (0.0000, 0.0000, 0.0000), Ir at (0.5000, 0.5000, 0.2611) and Os at (0.0000, 0.0000, 0.5000).



Calculated relative energies: <A> 0.0; <B> 12.8, given in kJ/mol of atoms



<A>
TaIr2Os | PBE-GGA | optimized geometry

The total magnetic moment comes out at 0.000 μB/atom.

It has space group P4/mmm (No. 123), with a = 3.9152 Å, b = 3.9152 Å, c = 3.9414 Å, α = 90.00°, β = 90.00° and γ = 90.00°. Symmetry generates all atoms from Ta at (0.0000, 0.0000, 0.0000), Ir at (0.0000, 0.5000, 0.5000) and Os at (0.5000, 0.5000, 0.0000).



<B>
TaIr2Os | PBE-GGA | optimized geometry

The total magnetic moment comes out at 0.000 μB/atom.

It has space group R-3m (No. 166, hexagonal axes), with a = 2.7908 Å, b = 2.7908 Å, c = 27.1707 Å, α = 90.00°, β = 90.00° and γ = 120.00°. Symmetry generates all atoms from Ta at (0.0000, 0.0000, 0.0000), Ir at (0.0000, 0.0000, 0.2475) and Os at (0.0000, 0.0000, 0.5000).



<C>
TaIr2Os | PBE-GGA | optimized geometry

The total magnetic moment comes out at 0.000 μB/atom.

It has space group F-43m (No. 216), with a = 6.2930 Å, b = 6.2930 Å, c = 6.2930 Å, α = 90.00°, β = 90.00° and γ = 90.00°. Symmetry generates all atoms from Ta at (0.0000, 0.0000, 0.0000), Ir at (0.0000, 0.0000, 0.5000), Ir at (0.2500, 0.2500, 0.7500) and Os at (0.2500, 0.2500, 0.2500).



<D>
TaIr2Os | PBE-GGA | optimized geometry

The total magnetic moment comes out at 0.000 μB/atom.

It has space group Cmmm (No. 65), with a = 5.5415 Å, b = 7.8162 Å, c = 2.8014 Å, α = 90.00°, β = 90.00° and γ = 90.00°. Symmetry generates all atoms from Ta at (0.0000, 0.0000, 0.0000), Ir at (0.2500, 0.2500, 0.5000) and Os at (0.0000, 0.5000, 0.0000).



Calculated relative energies: <A> 0.0; <B> 40.0; <C> 60.0; <D> 15.5, given in kJ/mol of atoms



<A>
TaIr2Os | PBE-GGA | optimized geometry

The total magnetic moment comes out at 0.038 μB/atom.

It has space group P4mm (No. 99), with a = 3.3412 Å, b = 3.3412 Å, c = 5.6045 Å, α = 90.00°, β = 90.00° and γ = 90.00°. Symmetry generates all atoms from Ta at (0.0000, 0.0000, 0.0000), Ir at (0.0000, 0.0000, 0.5036), Ir at (0.5000, 0.5000, 0.2467) and Os at (0.5000, 0.5000, 0.7285).



<B>
TaIr2Os | PBE-GGA | optimized geometry

The total magnetic moment comes out at 0.000 μB/atom.

It has space group Pmmm (No. 47), with a = 2.7919 Å, b = 3.9032 Å, c = 5.5871 Å, α = 90.00°, β = 90.00° and γ = 90.00°. Symmetry generates all atoms from Ta at (0.0000, 0.0000, 0.0000), Ir at (0.5000, 0.5000, 0.2607) and Os at (0.0000, 0.0000, 0.5000).



Calculated relative energies: <A> 28.4; <B> 0.0, given in kJ/mol of atoms